Record 1
This record from OQMD describes a relaxed structure of Na2TlH6Pd. The functional is PBE.

Properties
- Symmetry: No. 225
- Electronic total energy: -30.80 eV/cell

Structure (POSCAR):
```
Na2TlH6Pd
1.0
0.000 3.862 3.862
3.862 0.000 3.862
3.862 3.862 0.000
Pd H Tl Na
1 6 1 2
Direct
0.000 0.000 0.000
0.777 0.777 0.223
0.777 0.223 0.777
0.777 0.223 0.223
0.223 0.777 0.777
0.223 0.223 0.777
0.223 0.777 0.223
0.500 0.500 0.500
0.250 0.250 0.250
0.750 0.750 0.750
```


Record 2
This record from OQMD describes a relaxed structure of NaPmH2. The functional is PBE.

Properties
- Symmetry: No. 123
- Electronic total energy: -13.41 eV/cell

Structure (POSCAR):
```
NaPmH2
1.0
-3.016 0.653 1.537
-1.637 -1.784 -2.454
0.467 -4.068 2.646
H Pm Na
2 1 1
Direct
0.000 0.000 0.500
0.500 0.500 0.000
0.000 0.000 0.000
0.500 0.500 0.500
```


Record 3
This record from OQMD describes a relaxed structure of NaH8Pt2. The functional is PBE.

Properties
- Symmetry: No. 65
- Electronic total energy: -41.61 eV/cell

Structure (POSCAR):
```
NaH8Pt2
1.0
-1.625 1.514 4.923
2.327 -2.228 1.454
4.442 3.052 -2.432
H Pt Na
8 2 1
Direct
0.123 0.000 0.718
0.877 0.000 0.282
0.500 0.394 0.000
0.230 0.500 0.460
0.770 0.500 0.540
0.405 0.000 0.282
0.500 0.606 0.000
0.595 0.000 0.718
0.232 0.000 0.463
0.768 0.000 0.537
0.000 0.500 0.000
```


Record 4
This record from OQMD describes a relaxed structure of Rb2NaZnH6. The functional is PBE.

Properties
- Symmetry: No. 87
- Electronic total energy: -24.54 eV/cell

Structure (POSCAR):
```
Rb2NaZnH6
1.0
-2.914 2.914 4.125
2.914 -2.914 4.125
2.914 2.914 -4.125
Na H Zn Rb
1 6 1 2
Direct
0.500 0.500 0.000
0.219 0.784 0.003
0.216 0.219 0.435
0.217 0.217 0.000
0.781 0.216 0.997
0.784 0.781 0.565
0.783 0.783 0.000
0.000 0.000 0.000
0.250 0.750 0.500
0.750 0.250 0.500
```